[1]
DFT (PBE) results for TaW2Cl after structural relaxation.

abc: 10.5504 10.5504 10.5504
angles: 15.72 15.72 15.72
Atoms (fractional coordinates):
1 Cl 0.4786 0.4786 0.4786
2 Ta 0.7523 0.7523 0.7523
3 W 0.0058 0.0058 0.0058
4 W 0.2632 0.2632 0.2632

Computed properties:
Formation energy from raw total energies, eV per atom: 0.363
SG: No. 160
Calculated density, g/cm3: 12.90
Calculated total energy, Ry per atom: -0.701
Excess energy over the best structure of this formula in the dataset, meV per atom: 127

---

[2]
DFT (PBE) results for RbMgRuS2 after structural relaxation.

abc: 5.6828 4.9361 5.6828
angles: 90.00 90.00 90.00
Atoms (fractional coordinates):
1 Ru 0.0000 0.5000 0.0000
2 S 0.0000 0.0000 0.5000
3 S 0.5000 0.0000 0.0000
4 Mg 0.5000 0.5000 0.5000
5 Rb 0.0000 0.0000 0.0000

Computed properties:
Formation energy from raw total energies, eV per atom: 1.627
SG: No. 123
Calculated density, g/cm3: 2.86
Calculated total energy, Ry per atom: -0.176

---

[3]
DFT (PBE) results for RbCrS2 after structural relaxation.

abc: 17.9091 6.9835 6.9835
angles: 65.89 98.44 81.56
Atoms (fractional coordinates):
1 Cr 0.3226 0.4705 0.0970
2 Cr 0.1774 0.5970 0.9705
3 Cr 0.6774 0.5295 0.9030
4 Cr 0.8226 0.4030 0.0295
5 Cr 0.3191 0.9610 0.1136
6 Cr 0.1809 0.6136 0.4610
7 Cr 0.6809 0.0390 0.8864
8 Cr 0.8191 0.3864 0.5390
9 S 0.0885 0.7022 0.6425
10 S 0.4115 0.1425 0.2022
11 S 0.9115 0.2978 0.3575
12 S 0.5885 0.8575 0.7978
13 S 0.7425 0.1722 0.1174
14 S 0.7575 0.6174 0.6722
15 S 0.2575 0.8278 0.8826
16 S 0.2425 0.3826 0.3278
17 S 0.4121 0.6395 0.2155
18 S 0.0879 0.7155 0.1395
19 S 0.5879 0.3605 0.7845
20 S 0.9121 0.2845 0.8605
21 S 0.7500 0.1326 0.6326
22 S 0.2500 0.8674 0.3674
23 S 0.7500 0.6416 0.1416
24 S 0.2500 0.3584 0.8584
25 Rb 0.0765 0.1872 0.2145
26 Rb 0.4235 0.7145 0.6872
27 Rb 0.9235 0.8128 0.7855
28 Rb 0.5765 0.2855 0.3128
29 Rb 0.4152 0.2196 0.6796
30 Rb 0.0848 0.1795 0.7196
31 Rb 0.5848 0.7804 0.3204
32 Rb 0.9152 0.8204 0.2804

Computed properties:
Formation energy from raw total energies, eV per atom: -0.782
SG: No. 15
Calculated density, g/cm3: 3.49
Calculated total energy, Ry per atom: -0.404

---

[4]
DFT (PBE) results for ScP2Pt after structural relaxation.

abc: 3.5322 3.5322 5.3136
angles: 90.00 90.00 90.00
Atoms (fractional coordinates):
1 P 0.0000 0.0000 0.9382
2 P 0.5000 0.5000 0.3188
3 Pt 0.0000 0.0000 0.4283
4 Sc 0.5000 0.5000 0.8147

Computed properties:
DFT formation energy, eV/atom: -0.739
SG: No. 99
Calculated density, g/cm3: 7.56
Calculated total energy, Ry per atom: -0.480
Excess energy over the best structure of this formula in the dataset, meV per atom: 137

---

[5]
DFT (PBE) results for Li2TcAg after structural relaxation.

abc: 9.5487 9.5487 9.5487
angles: 16.51 16.51 16.51
Atoms (fractional coordinates):
1 Ag 0.7500 0.7500 0.7500
2 Li 0.9968 0.9968 0.9968
3 Li 0.5032 0.5032 0.5032
4 Tc 0.2500 0.2500 0.2500

Computed properties:
DFT formation energy, eV/atom: 0.173
SG: No. 166
Calculated density, g/cm3: 5.95
Calculated total energy, Ry per atom: -0.300
Excess energy over the best structure of this formula in the dataset, meV per atom: 62

---

[6]
DFT (PBE) results for Tm6GaIr5 after structural relaxation.

abc: 4.7350 7.0221 8.2925
angles: 115.05 106.59 90.00
Atoms (fractional coordinates):
1 Tm 0.1697 0.4240 0.3394
2 Tm 0.1697 0.9154 0.3394
3 Tm 0.5000 0.2589 0.0000
4 Tm 0.5000 0.7411 0.0000
5 Tm 0.8303 0.0846 0.6606
6 Tm 0.8303 0.5760 0.6606
7 Ga 0.0000 0.0000 0.0000
8 Ir 0.3366 0.8366 0.6733
9 Ir 0.6674 0.6674 0.3348
10 Ir 0.0000 0.5000 0.0000
11 Ir 0.3326 0.3326 0.6652
12 Ir 0.6634 0.1634 0.3267

Computed properties:
DFT formation energy, eV/atom: -0.857
SG: No. 71
Calculated density, g/cm3: 14.32
Calculated total energy, Ry per atom: -0.517

---

[7]
DFT (PBE) results for MgIn2I2Cl2 after structural relaxation.

abc: 4.3813 8.6656 7.7163
angles: 59.18 73.51 89.99
Atoms (fractional coordinates):
1 Mg 0.0000 0.0000 0.0000
2 In 0.1491 0.7042 0.7053
3 In 0.8509 0.2958 0.2947
4 I 0.5473 0.2745 0.9053
5 I 0.4527 0.7255 0.0947
6 Cl 0.1861 0.0882 0.6269
7 Cl 0.8139 0.9118 0.3731

Computed properties:
Formation energy from raw total energies, eV per atom: -0.954
SG: No. 2
Calculated density, g/cm3: 4.05
Calculated total energy, Ry per atom: -0.216

---

[8]
DFT (PBE) results for MgZr2Fe after structural relaxation.

abc: 7.4925 7.4925 6.0174
angles: 51.50 51.50 90.00
Atoms (fractional coordinates):
1 Mg 0.5000 0.5000 0.0000
2 Mg 0.2500 0.7500 0.5000
3 Fe 0.0000 0.0000 0.0000
4 Fe 0.7500 0.2500 0.5000
5 Zr 0.6810 0.1250 0.2500
6 Zr 0.0690 0.6250 0.2500
7 Zr 0.3750 0.3190 0.7500
8 Zr 0.8750 0.9310 0.7500

Computed properties:
DFT formation energy, eV/atom: 0.301
SG: No. 122
Calculated density, g/cm3: 5.44
Calculated total energy, Ry per atom: -0.477

---

[9]
DFT (PBE) results for LaAg2F8 after structural relaxation.

abc: 5.7822 5.7822 6.9276
angles: 114.67 114.67 90.00
Atoms (fractional coordinates):
1 F 0.7888 0.3189 0.2482
2 F 0.0707 0.5406 0.7518
3 F 0.6811 0.2112 0.7518
4 F 0.2112 0.0707 0.7518
5 F 0.4594 0.9293 0.2482
6 F 0.9293 0.7888 0.2482
7 F 0.3189 0.4594 0.2482
8 F 0.5406 0.6811 0.7518
9 Ag 0.7500 0.2500 0.5000
10 Ag 0.2500 0.7500 0.5000
11 La 0.5000 0.5000 0.0000

Computed properties:
Formation energy from raw total energies, eV per atom: -2.164
SG: No. 97
Calculated density, g/cm3: 4.50
Calculated total energy, Ry per atom: -0.330

---

[10]
DFT (PBE) results for AcIO3 after structural relaxation.

abc: 7.1114 6.7919 9.0752
angles: 90.00 116.33 90.00
Atoms (fractional coordinates):
1 Ac 0.9710 0.6426 0.2797
2 Ac 0.5290 0.1426 0.2203
3 Ac 0.0290 0.3574 0.7203
4 Ac 0.4710 0.8574 0.7797
5 I 0.4190 0.6541 0.1410
6 I 0.0810 0.1541 0.3590
7 I 0.5810 0.3459 0.8590
8 I 0.9190 0.8459 0.6410
9 O 0.1525 0.6632 0.5817
10 O 0.3475 0.1632 0.9183
11 O 0.8475 0.3368 0.4183
12 O 0.6525 0.8368 0.0817
13 O 0.7476 0.0278 0.7002
14 O 0.7524 0.5278 0.7998
15 O 0.2524 0.9722 0.2998
16 O 0.2476 0.4722 0.2002
17 O 0.7457 0.8460 0.4063
18 O 0.7543 0.3460 0.0937
19 O 0.2543 0.1540 0.5937
20 O 0.2457 0.6540 0.9063

Computed properties:
Formation energy from raw total energies, eV per atom: -1.712
SG: No. 14
Calculated density, g/cm3: 6.80
Calculated total energy, Ry per atom: -0.428

---

[11]
DFT (PBE) results for Si4Au2Cl after structural relaxation.

abc: 4.6540 4.6540 7.8297
angles: 72.71 72.71 90.00
Atoms (fractional coordinates):
1 Si 0.7667 0.7667 0.4666
2 Si 0.2333 0.2333 0.5334
3 Si 0.0000 0.5000 0.0000
4 Si 0.5000 0.0000 0.0000
5 Au 0.6012 0.6012 0.7977
6 Au 0.3988 0.3988 0.2023
7 Cl 0.0000 0.0000 0.0000

Computed properties:
Formation energy from raw total energies, eV per atom: 0.678
SG: No. 139
Calculated density, g/cm3: 5.85
Calculated total energy, Ry per atom: -0.266

---

[12]
DFT (PBE) results for YSi2Ni9 after structural relaxation.

abc: 6.1677 7.5734 7.5734
angles: 80.46 65.97 65.97
Atoms (fractional coordinates):
1 Y 0.5000 0.0000 0.0000
2 Y 0.2500 0.5000 0.5000
3 Si 0.8750 0.2500 0.7500
4 Si 0.8750 0.7500 0.2500
5 Si 0.8750 0.2500 0.2500
6 Si 0.3750 0.7500 0.7500
7 Ni 0.7500 0.5000 0.5000
8 Ni 0.0000 0.0000 0.0000
9 Ni 0.0132 0.9214 0.6735
10 Ni 0.6080 0.0786 0.3265
11 Ni 0.6845 0.1735 0.5786
12 Ni 0.4366 0.8265 0.4214
13 Ni 0.7368 0.8265 0.5786
14 Ni 0.1420 0.1735 0.4214
15 Ni 0.0655 0.9214 0.3265
16 Ni 0.3134 0.0786 0.6735
17 Ni 0.7368 0.5786 0.8265
18 Ni 0.1420 0.4214 0.1735
19 Ni 0.0655 0.3265 0.9214
20 Ni 0.3134 0.6735 0.0786
21 Ni 0.0132 0.6735 0.9214
22 Ni 0.6080 0.3265 0.0786
23 Ni 0.6845 0.5786 0.1735
24 Ni 0.4366 0.4214 0.8265

Computed properties:
Formation energy from raw total energies, eV per atom: -0.482
SG: No. 141
Calculated density, g/cm3: 7.58
Calculated total energy, Ry per atom: -0.460

---

[13]
DFT (PBE) results for K2Cl after structural relaxation.

abc: 8.4883 8.4883 11.9676
angles: 48.45 48.45 29.94
Atoms (fractional coordinates):
1 K 0.7878 0.7878 0.6476
2 K 0.5858 0.5858 0.1494
3 K 0.4142 0.4142 0.8506
4 K 0.2122 0.2122 0.3524
5 Cl 0.2010 0.2010 0.8969
6 Cl 0.7990 0.7990 0.1031

Computed properties:
Formation energy from raw total energies, eV per atom: -1.205
SG: No. 12
Calculated density, g/cm3: 1.21
Calculated total energy, Ry per atom: -0.188
Excess energy over the best structure of this formula in the dataset, meV per atom: 39

---

[14]
DFT (PBE) results for Ca2CdIn3O8 after structural relaxation.

abc: 6.6375 6.6375 6.7106
angles: 60.36 60.36 60.00
Atoms (fractional coordinates):
1 Ca 0.1206 0.1206 0.6383
2 Ca 0.4984 0.4984 0.5047
3 Cd 0.8793 0.8793 0.3621
4 In 0.4981 0.0026 0.0011
5 In 0.0026 0.4981 0.0011
6 In 0.4981 0.4981 0.0011
7 O 0.2605 0.2605 0.2185
8 O 0.7395 0.7395 0.7815
9 O 0.2535 0.2535 0.7836
10 O 0.7094 0.2535 0.7836
11 O 0.2535 0.7094 0.7836
12 O 0.7452 0.2887 0.2208
13 O 0.2887 0.7452 0.2208
14 O 0.7452 0.7452 0.2208

Computed properties:
Formation energy from raw total energies, eV per atom: -1.782
SG: No. 160
Calculated density, g/cm3: 5.25
Calculated total energy, Ry per atom: -0.408

---

[15]
DFT (PBE) results for Nb2GaSn after structural relaxation.

abc: 4.2904 4.1552 4.1552
angles: 90.00 90.00 90.00
Atoms (fractional coordinates):
1 Nb 0.0000 0.0000 0.5000
2 Nb 0.0000 0.5000 0.0000
3 Sn 0.5000 0.5000 0.5000
4 Ga 0.5000 0.0000 0.0000

Computed properties:
DFT formation energy, eV/atom: -0.028
SG: No. 123
Calculated density, g/cm3: 8.39
Calculated total energy, Ry per atom: -0.501

---

[16]
DFT (PBE) results for InAg2Cl after structural relaxation.

abc: 8.4331 8.4331 8.4331
angles: 24.15 24.15 24.15
Atoms (fractional coordinates):
1 Cl 0.5026 0.5026 0.5026
2 Ag 0.9982 0.9982 0.9982
3 Ag 0.2511 0.2511 0.2511
4 In 0.7481 0.7481 0.7481

Computed properties:
Formation energy from raw total energies, eV per atom: -0.145
SG: No. 160
Calculated density, g/cm3: 6.89
Calculated total energy, Ry per atom: -0.200

---

[17]
DFT (PBE) results for Dy2TiCu after structural relaxation.

abc: 3.3615 3.3615 7.9102
angles: 90.00 90.00 90.00
Atoms (fractional coordinates):
1 Ti 0.5000 0.5000 0.5000
2 Cu 0.5000 0.5000 0.0000
3 Dy 0.0000 0.0000 0.7694
4 Dy 0.0000 0.0000 0.2306

Computed properties:
DFT formation energy, eV/atom: 0.010
SG: No. 123
Calculated density, g/cm3: 8.11
Calculated total energy, Ry per atom: -0.389
Excess energy over the best structure of this formula in the dataset, meV per atom: 0

---

[18]
DFT (PBE) results for HgAs4Os after structural relaxation.

abc: 5.4942 5.4942 5.4942
angles: 60.00 60.00 60.00
Atoms (fractional coordinates):
1 Hg 0.7500 0.7500 0.7500
2 As 0.8750 0.3750 0.3750
3 As 0.3750 0.3750 0.8750
4 As 0.3750 0.8750 0.3750
5 As 0.3750 0.3750 0.3750
6 Os 0.0000 0.0000 0.0000

Computed properties:
DFT formation energy, eV/atom: 1.042
SG: No. 216
Calculated density, g/cm3: 9.78
Calculated total energy, Ry per atom: -0.292

---

[19]
DFT (PBE) results for Nb5ReW4 after structural relaxation.

abc: 3.2343 3.2343 16.1819
angles: 90.00 90.00 90.00
Atoms (fractional coordinates):
1 Nb 0.5000 0.5000 0.0983
2 Nb 0.5000 0.5000 0.2988
3 Nb 0.5000 0.5000 0.5000
4 Nb 0.5000 0.5000 0.7012
5 Nb 0.5000 0.5000 0.9017
6 Re 0.0000 0.0000 0.0000
7 W 0.0000 0.0000 0.1991
8 W 0.0000 0.0000 0.3996
9 W 0.0000 0.0000 0.6004
10 W 0.0000 0.0000 0.8009

Computed properties:
DFT formation energy, eV/atom: -0.105
SG: No. 123
Calculated density, g/cm3: 13.60
Calculated total energy, Ry per atom: -0.850
Excess energy over the best structure of this formula in the dataset, meV per atom: 0

---

[20]
DFT (PBE) results for Pm2Sm3DySe6 after structural relaxation.

abc: 7.2203 7.2203 7.2174
angles: 99.56 99.56 120.25
Atoms (fractional coordinates):
1 Pm 0.3328 0.6672 0.0000
2 Pm 0.6672 0.3328 0.0000
3 Sm 0.1714 0.8286 0.5000
4 Sm 0.8286 0.1714 0.5000
5 Sm 0.5000 0.5000 0.5000
6 Dy 0.0000 0.0000 0.0000
7 Se 0.9176 0.5917 0.7529
8 Se 0.7576 0.7576 0.2508
9 Se 0.0824 0.4083 0.2471
10 Se 0.5917 0.9176 0.7529
11 Se 0.2424 0.2424 0.7492
12 Se 0.4083 0.0824 0.2471

Computed properties:
Formation energy from raw total energies, eV per atom: -1.814
SG: No. 12
Calculated density, g/cm3: 7.46
Calculated total energy, Ry per atom: -0.434